[1]
VASP calculation (GGA-PBE) on a relaxed HgPbAu2 crystal.

Cell: 4.2085 3.9748 6.0562 Å, 68.23 90.00 90.00°
Last column: nearest neighbours and their distance in Å.
Sites, in units of the cell vectors:
Hg1 0.0000 0.4851 0.4211  6 Au 2.96-3.12
Au1 0.0000 0.1832 0.9594  2 Au 2.86, 4 Pb 2.97-3.03, 2 Hg 3.03-3.12
Au2 0.5000 0.0576 0.3007  2 Au 2.86, 1 Pb 2.91, 4 Hg 2.96-2.98
Pb1 0.5000 0.7740 0.8189  6 Au 2.91-3.23

Summary:
**Volume**: 94.08 Å³/cell
**VASP energy**: -2.653 eV per atom
**Formation energy**: -11 meV per atom
**Total moment**: 0.00 μB per cell

---

[2]
VASP calculation (GGA-PBE) on a relaxed BaTlAs2 crystal.

Cell: 6.1977 6.1977 4.6260 Å, 82.42 82.42 45.96°
Last column: nearest neighbours and their distance in Å.
Sites, in units of the cell vectors:
Tl1 0.7608 0.7608 0.8690  5 As 3.23-3.57
Ba1 0.4804 0.4804 0.4126  7 As 3.35-3.52
As1 0.1854 0.1854 0.3429  2 As 2.61-2.67
As2 0.0733 0.0733 0.8754  2 As 2.61-2.67

Summary:
**Volume**: 126.42 Å³/cell
**VASP energy**: -3.901 eV per atom
**Formation energy**: -504 meV per atom
**Total moment**: 0.00 μB per cell

---

Which of these has the lowest formation energy? BaTlAs2

---

Which formula does entry 2 have? BaTlAs2

---

Please write out number 2 again, unchanged.
VASP calculation (GGA-PBE) on a relaxed BaTlAs2 crystal.

Cell: 6.1977 6.1977 4.6260 Å, 82.42 82.42 45.96°
Last column: nearest neighbours and their distance in Å.
Sites, in units of the cell vectors:
Tl1 0.7608 0.7608 0.8690  5 As 3.23-3.57
Ba1 0.4804 0.4804 0.4126  7 As 3.35-3.52
As1 0.1854 0.1854 0.3429  2 As 2.61-2.67
As2 0.0733 0.0733 0.8754  2 As 2.61-2.67

Summary:
**Volume**: 126.42 Å³/cell
**VASP energy**: -3.901 eV per atom
**Formation energy**: -504 meV per atom
**Total moment**: 0.00 μB per cell